Record 1
DFT (PBE-GGA) results for an optimized crystal structure of PrHo3Hg2.

Cell: 5.1058 9.3133 7.1920 Å, 90.00 90.00 90.00°
Atoms (fractional coordinates):
Pr (0.0000, 0.0575, 0.0000)
Pr (0.0000, 0.9425, 0.5000)
Ho (0.0000, 0.3293, 0.6508)
Ho (0.0000, 0.6707, 0.1508)
Ho (0.5000, 0.1811, 0.3182)
Ho (0.5000, 0.4422, 0.9681)
Ho (0.5000, 0.5578, 0.4681)
Ho (0.5000, 0.8189, 0.8182)
Hg (0.0000, 0.3560, 0.2278)
Hg (0.0000, 0.6440, 0.7278)
Hg (0.5000, 0.1507, 0.7398)
Hg (0.5000, 0.8493, 0.2398)

Computed properties:
Crystal system ... orthorhombic
Magnetic moment ... 0.0 μB per formula unit
Space-group type ... Pmc2_1 (26)
ΔE to the lowest computed polymorph ... 0.00 eV per formula unit
ρ ... 10.07 g/cm³

Record 2
DFT (PBE-GGA) results for an optimized crystal structure of Hf3Al4Au2.

Cell: 5.4468 5.4468 8.3834 Å, 116.33 116.33 48.42°
Atoms (fractional coordinates):
Hf (0.0000, 0.0000, 0.0000)
Hf (0.3422, 0.3422, 0.3234)
Hf (0.6578, 0.6578, 0.6766)
Al (0.0688, 0.0688, 0.4004)
Al (0.2759, 0.2759, 0.9424)
Al (0.7241, 0.7241, 0.0576)
Al (0.9312, 0.9312, 0.5996)
Au (0.3783, 0.3783, 0.7153)
Au (0.6217, 0.6217, 0.2847)

Computed properties:
Crystal system ... monoclinic
Magnetic moment ... 0.0 μB per formula unit
Space-group type ... C2/m (12)
ρ ... 10.60 g/cm³

| no. | electronic total energy (eV/cell) |
| --- | --- |
| 1 | -42.345 |
| 2 | -55.886 |